Record 1
Below is an optimized crystal structure of AlN, with properties calculated at the PBE level.

## Properties
E: -29.78 eV/cell
Formation energy from raw total energies: -1.411 eV/atom
SG: No. 186
Volume: 10.63 Å³/atom

Unit cell a=3.1289 b=3.1289 c=5.0133 alpha=90.00 beta=90.00 gamma=120.00
Element x y z (fractional)
Al  0.3333  0.6667  0.0000
Al  0.6667  0.3333  0.5000
N  0.3333  0.6667  0.3817
N  0.6667  0.3333  0.8817

=====

Record 2
Below is an optimized crystal structure of MgMnZn2, with properties calculated at the PBE level.

## Properties
E: -12.92 eV/cell
Formation energy from the elements: 0.099 eV per atom
SG: No. 25
Volume: 15.71 Å³/atom

Unit cell a=2.8451 b=3.9552 c=5.5831 alpha=90.00 beta=90.00 gamma=90.00
Element x y z (fractional)
Mg  0.0000  0.0000  0.0000
Mn  0.5000  0.5000  0.2658
Zn  0.0000  0.0000  0.4848
Zn  0.5000  0.5000  0.7427

=====

Record 3
Below is an optimized crystal structure of NaAl2Au8, with properties calculated at the PBE level.

## Properties
E: -37.77 eV/cell
Formation energy from the elements: -0.250 eV per atom
SG: No. 12
Volume: 17.71 Å³/atom

Unit cell a=7.5999 b=7.5999 c=6.8078 alpha=110.56 beta=110.56 gamma=32.15
Element x y z (fractional)
Na  0.0000  0.0000  0.0000
Al  0.2827  0.2827  0.3413
Al  0.7173  0.7173  0.6587
Au  0.1085  0.1085  0.4694
Au  0.1796  0.1796  0.9330
Au  0.3450  0.3450  0.7706
Au  0.4555  0.4555  0.2746
Au  0.5445  0.5445  0.7254
Au  0.6550  0.6550  0.2294
Au  0.8204  0.8204  0.0670
Au  0.8915  0.8915  0.5306